This record from the Alexandria database describes crystalline Sr4GeSb2 at its relaxed geometry. The functional is PBE.

Output
**Theoretical density**: 3953 kg/m³
**ΔE_f (raw)**: -578.0 meV/atom

Cell lengths 9.573, 9.573, 9.573 Å; angles 145.51, 145.51, 49.58 degrees
Atoms (fractional coordinates):
Sr (0.000, 0.500, 0.500)
Sr (0.181, 0.181, 0.000)
Sr (0.500, 0.000, 0.500)
Sr (0.819, 0.819, 0.000)
Ge (0.000, 0.000, 0.000)
Sb (0.370, 0.370, 0.000)
Sb (0.630, 0.630, 0.000)